# 1
A plane-wave DFT calculation with GGA-PBE was carried out for a geometry-optimized LaNb2Co2 structure.

Unit cell a=7.601 b=7.601 c=3.093 alpha=90.00 beta=90.00 gamma=90.00
Space group P4/mbm (No. 127)
Asymmetric unit:
La1 0.000 0.000 0.000 x2
Nb1 0.152 0.348 0.500 x4
Co1 0.118 0.618 0.000 x4

Energy of formation = 0.21 eV per atom
Fermi-level density of states = 1.167 states/eV/atom

# 2
A plane-wave DFT calculation with GGA-PBE was carried out for a geometry-optimized RbTl12Pd5 structure.

Unit cell a=9.027 b=9.051 c=11.413 alpha=90.00 beta=90.00 gamma=90.00
Space group Immm (No. 71)
Asymmetric unit:
Rb1 0.000 0.000 0.000 x2
Tl1 0.000 0.308 0.182 x8
Tl2 0.179 0.274 0.500 x8
Tl3 0.186 0.000 0.271 x8
Pd1 0.000 0.000 0.500 x2
Pd2 0.000 0.500 0.378 x4
Pd3 0.162 0.500 0.000 x4

Energy of formation = -0.07 eV per atom
Fermi-level density of states = 0.545 states/eV/atom

# 3
A plane-wave DFT calculation with GGA-PBE was carried out for a geometry-optimized SmBHRu structure.

Unit cell a=3.970 b=3.970 c=7.405 alpha=90.00 beta=90.00 gamma=90.00
Space group P4/nmm (No. 129, origin choice 2)
Asymmetric unit:
Sm1 0.250 0.250 0.185 x2
B1 0.250 0.250 0.603 x2
H1 0.250 0.750 0.000 x2
Ru1 0.250 0.750 0.500 x2

E = -6.53 eV/atom
Fermi-level density of states = 0.424 states/eV/atom

# 4
A plane-wave DFT calculation with GGA-PBE was carried out for a geometry-optimized CuSnAs3 structure.

Unit cell a=4.802 b=4.802 c=4.802 alpha=90.00 beta=90.00 gamma=90.00
Space group Pm-3m (No. 221)
Asymmetric unit:
Cu1 0.000 0.000 0.000 x1
Sn1 0.500 0.500 0.500 x1
As1 0.000 0.000 0.500 x3

Energy of formation = 0.49 eV per atom
Fermi-level density of states = 0.709 states/eV/atom

# 5
A plane-wave DFT calculation with GGA-PBE was carried out for a geometry-optimized Ca2MoP structure.

Unit cell a=6.844 b=6.844 c=6.844 alpha=90.00 beta=90.00 gamma=90.00
Space group F-43m (No. 216)
Asymmetric unit:
Ca1 0.000 0.000 0.000 x4
Ca2 0.250 0.250 0.250 x4
Mo1 0.250 0.250 0.750 x4
P1 0.000 0.000 0.500 x4

Energy of formation = 0.38 eV per atom
Fermi-level density of states = 1.180 states/eV/atom

# 6
A plane-wave DFT calculation with GGA-PBE was carried out for a geometry-optimized TmGa2Pd9 structure.

Unit cell a=4.009 b=4.009 c=11.794 alpha=90.00 beta=90.00 gamma=90.00
Space group P4/mmm (No. 123)
Asymmetric unit:
Tm1 0.000 0.000 0.000 x1
Ga1 0.000 0.000 0.341 x2
Pd1 0.000 0.500 0.179 x4
Pd2 0.000 0.500 0.500 x2
Pd3 0.500 0.500 0.000 x1
Pd4 0.500 0.500 0.338 x2

Energy of formation = -0.60 eV per atom
Fermi-level density of states = 0.805 states/eV/atom

# 7
A plane-wave DFT calculation with GGA-PBE was carried out for a geometry-optimized Na2CaTl6 structure.

Unit cell a=16.257 b=9.265 c=3.534 alpha=90.00 beta=91.00 gamma=90.00
Space group C2/m (No. 12)
Asymmetric unit:
Na1 0.166 0.000 0.498 x4
Ca1 0.000 0.500 0.500 x2
Tl1 0.000 0.167 0.000 x4
Tl2 0.167 0.332 0.964 x8

Energy of formation = -0.12 eV per atom
Fermi-level density of states = 0.459 states/eV/atom

# 8
A plane-wave DFT calculation with GGA-PBE was carried out for a geometry-optimized H3IrAu structure.

Unit cell a=3.545 b=3.545 c=3.545 alpha=90.00 beta=90.00 gamma=90.00
Space group Pm-3m (No. 221)
Asymmetric unit:
H1 0.000 0.000 0.500 x3
Ir1 0.000 0.000 0.000 x1
Au1 0.500 0.500 0.500 x1

E = -4.09 eV/atom
Fermi-level density of states = 0.206 states/eV/atom

# 9
A plane-wave DFT calculation with GGA-PBE was carried out for a geometry-optimized AcHf2CuP4 structure.

Unit cell a=3.873 b=12.845 c=13.028 alpha=90.00 beta=90.00 gamma=90.00
Space group Cmcm (No. 63)
Asymmetric unit:
Ac1 0.000 0.115 0.250 x4
Hf1 0.000 0.370 0.060 x8
Cu1 0.000 0.154 0.750 x4
P1 0.000 0.000 0.000 x4
P2 0.000 0.264 0.611 x8
P3 0.000 0.440 0.250 x4

Energy of formation = -1.05 eV per atom
Fermi-level density of states = 0.167 states/eV/atom

# 10
A plane-wave DFT calculation with GGA-PBE was carried out for a geometry-optimized KTeRh2 structure.

Unit cell a=4.121 b=4.121 c=9.197 alpha=90.00 beta=90.00 gamma=90.00
Space group I-4m2 (No. 119)
Asymmetric unit:
K1 0.000 0.000 0.000 x2
Te1 0.000 0.500 0.250 x2
Rh1 0.000 0.000 0.500 x2
Rh2 0.000 0.500 0.750 x2

Formation energy without anion corrections = 0.429 eV/atom
Fermi-level density of states = 0.865 states/eV/atom

# 11
A plane-wave DFT calculation with GGA-PBE was carried out for a geometry-optimized CoSbBr2 structure.

Unit cell a=7.111 b=7.111 c=7.111 alpha=90.00 beta=90.00 gamma=90.00
Space group F-43m (No. 216)
Asymmetric unit:
Co1 0.000 0.000 0.000 x4
Sb1 0.250 0.250 0.750 x4
Br1 0.000 0.000 0.500 x4
Br2 0.250 0.250 0.250 x4

Formation energy without anion corrections = 0.678 eV/atom
Fermi-level density of states = 2.071 states/eV/atom

# 12
A plane-wave DFT calculation with GGA-PBE was carried out for a geometry-optimized KRb3Ta structure.

Unit cell a=7.185 b=7.185 c=7.185 alpha=90.00 beta=90.00 gamma=90.00
Space group Pm-3m (No. 221)
Asymmetric unit:
K1 0.000 0.000 0.000 x1
Rb1 0.000 0.500 0.500 x3
Ta1 0.500 0.500 0.500 x1

Energy of formation = 1.19 eV per atom
Fermi-level density of states = 0.228 states/eV/atom

# 13
A plane-wave DFT calculation with GGA-PBE was carried out for a geometry-optimized HfNiAs2Br structure.

Unit cell a=5.144 b=5.144 c=5.113 alpha=90.00 beta=90.00 gamma=90.00
Space group P4/mmm (No. 123)
Asymmetric unit:
Hf1 0.000 0.000 0.000 x1
Ni1 0.500 0.500 0.500 x1
As1 0.000 0.500 0.000 x2
Br1 0.000 0.000 0.500 x1

Formation energy without anion corrections = 0.525 eV/atom
Fermi-level density of states = 2.191 states/eV/atom

# 14
A plane-wave DFT calculation with GGA-PBE was carried out for a geometry-optimized Dy6InGe2S3 structure.

Unit cell a=18.108 b=4.047 c=8.253 alpha=90.00 beta=108.67 gamma=90.00
Space group C2/m (No. 12)
Asymmetric unit:
Dy1 0.007 0.000 0.228 x4
Dy2 0.169 0.500 0.072 x4
Dy3 0.174 0.500 0.577 x4
In1 0.000 0.500 0.500 x2
Ge1 0.160 0.000 0.816 x4
S1 0.000 0.500 0.000 x2
S2 0.168 0.000 0.324 x4

Formation energy without anion corrections = -1.330 eV/atom
Fermi-level density of states = 0.361 states/eV/atom

# 15
A plane-wave DFT calculation with GGA-PBE was carried out for a geometry-optimized Er2TiGa9 structure.

Unit cell a=4.180 b=4.180 c=12.424 alpha=90.00 beta=90.00 gamma=90.00
Space group P4/mmm (No. 123)
Asymmetric unit:
Er1 0.000 0.000 0.175 x2
Ti1 0.000 0.000 0.500 x1
Ga1 0.000 0.500 0.000 x2
Ga2 0.000 0.500 0.346 x4
Ga3 0.500 0.500 0.168 x2
Ga4 0.500 0.500 0.500 x1

Energy of formation = -0.45 eV per atom
Fermi-level density of states = 0.346 states/eV/atom

# 16
A plane-wave DFT calculation with GGA-PBE was carried out for a geometry-optimized FeCl3 structure.

Unit cell a=3.3224 b=3.3224 c=28.2530 alpha=90.00 beta=90.00 gamma=120.00
Space group R-3m (No. 166, hexagonal axes)
Asymmetric unit:
Fe1 0.0000 0.0000 0.0000 x3
Cl1 0.0000 0.0000 0.3772 x6
Cl2 0.0000 0.0000 0.5000 x3

Formation energy without anion corrections = -0.129 eV/atom
Fermi-level density of states = 1.592 states/eV/atom

# 17
A plane-wave DFT calculation with GGA-PBE was carried out for a geometry-optimized PaBi2PbO8 structure.

Unit cell a=7.170 b=7.170 c=7.679 alpha=90.00 beta=90.00 gamma=90.00
Space group I-4m2 (No. 119)
Asymmetric unit:
Pa1 0.000 0.000 0.000 x2
Bi1 0.000 0.000 0.500 x2
Bi2 0.000 0.500 0.750 x2
Pb1 0.000 0.500 0.250 x2
O1 0.000 0.192 0.285 x8
O2 0.000 0.297 0.965 x8

Formation energy without anion corrections = -1.547 eV/atom
Fermi-level density of states = 0.347 states/eV/atom

# 18
A plane-wave DFT calculation with GGA-PBE was carried out for a geometry-optimized CdIBrN2 structure.

Unit cell a=4.499 b=4.499 c=6.640 alpha=90.00 beta=90.00 gamma=90.00
Space group P4/mmm (No. 123)
Asymmetric unit:
Cd1 0.000 0.000 0.000 x1
I1 0.000 0.000 0.500 x1
Br1 0.500 0.500 0.500 x1
N1 0.000 0.500 0.000 x2

Formation energy without anion corrections = 1.573 eV/atom
Fermi-level density of states = 0.364 states/eV/atom

# 19
A plane-wave DFT calculation with GGA-PBE was carried out for a geometry-optimized Nd7HoTm12 structure.

Unit cell a=11.8973 b=11.8973 c=16.1901 alpha=90.00 beta=90.00 gamma=120.00
Space group R-3 (No. 148, hexagonal axes)
Asymmetric unit:
Nd1 0.0000 0.0000 0.0000 x3
Nd2 0.0550 0.1872 0.2887 x18
Ho1 0.0000 0.0000 0.5000 x3
Tm1 0.0254 0.4487 0.2210 x18
Tm2 0.0525 0.5859 0.5832 x18

Energy of formation = 0.23 eV per atom
Fermi-level density of states = 1.768 states/eV/atom

# 20
A plane-wave DFT calculation with GGA-PBE was carried out for a geometry-optimized Ba3MgAg structure.

Unit cell a=6.444 b=6.444 c=6.444 alpha=90.00 beta=90.00 gamma=90.00
Space group Pm-3m (No. 221)
Asymmetric unit:
Ba1 0.000 0.000 0.500 x3
Mg1 0.500 0.500 0.500 x1
Ag1 0.000 0.000 0.000 x1

Energy of formation = 0.06 eV per atom
Fermi-level density of states = 0.867 states/eV/atom

# 21
A plane-wave DFT calculation with GGA-PBE was carried out for a geometry-optimized Zr2SiHg structure.

Unit cell a=4.095 b=4.576 c=8.386 alpha=90.00 beta=90.00 gamma=90.00
Space group Cmmm (No. 65)
Asymmetric unit:
Zr1 0.000 0.000 0.220 x4
Si1 0.000 0.500 0.000 x2
Hg1 0.000 0.500 0.500 x2

Formation energy without anion corrections = -0.395 eV/atom
Fermi-level density of states = 0.452 states/eV/atom

# 22
A plane-wave DFT calculation with GGA-PBE was carried out for a geometry-optimized Li2MnH structure.

Unit cell a=6.136 b=6.136 c=6.136 alpha=90.00 beta=90.00 gamma=90.00
Space group Fm-3m (No. 225)
Asymmetric unit:
Li1 0.250 0.250 0.250 x8
Mn1 0.000 0.000 0.000 x4
H1 0.000 0.000 0.500 x4

E = -3.32 eV/atom
Fermi-level density of states = 0.826 states/eV/atom

# 23
A plane-wave DFT calculation with GGA-PBE was carried out for a geometry-optimized CuIrBr2 structure.

Unit cell a=3.177 b=3.997 c=7.014 alpha=90.00 beta=90.00 gamma=90.00
Space group Pmmm (No. 47)
Asymmetric unit:
Cu1 0.000 0.000 0.000 x1
Ir1 0.500 0.000 0.500 x1
Br1 0.000 0.500 0.500 x1
Br2 0.500 0.500 0.000 x1

Formation energy without anion corrections = 0.735 eV/atom
Fermi-level density of states = 1.209 states/eV/atom

# 24
A plane-wave DFT calculation with GGA-PBE was carried out for a geometry-optimized PmMg2Tl structure.

Unit cell a=7.396 b=7.396 c=7.396 alpha=90.00 beta=90.00 gamma=90.00
Space group Fm-3m (No. 225)
Asymmetric unit:
Pm1 0.000 0.000 0.000 x4
Mg1 0.250 0.250 0.250 x8
Tl1 0.000 0.000 0.500 x4

Energy of formation = -0.08 eV per atom
Fermi-level density of states = 0.432 states/eV/atom

# 25
A plane-wave DFT calculation with GGA-PBE was carried out for a geometry-optimized Al2OsPb structure.

Unit cell a=3.000 b=4.154 c=13.142 alpha=90.00 beta=90.00 gamma=90.00
Space group Imm2 (No. 44)
Asymmetric unit:
Al1 0.000 0.000 0.000 x2
Al2 0.000 0.500 0.158 x2
Os1 0.000 0.500 0.653 x2
Pb1 0.000 0.000 0.353 x2

Energy of formation = 0.07 eV per atom
Fermi-level density of states = 0.450 states/eV/atom